# Cs2NiCl6F, relaxed, DFT PBE with a Hubbard U
# calculated total energy	-53.7	eV per cell
data_Cs2NiCl6F
_chemical_formula_sum 'Cs4 Ni2 Cl12 F2'
_symmetry_space_group_name_H-M 'I 4/m m m'
_symmetry_Int_Tables_number 139
_symmetry_space_group_name_Hall '-I 4 2'
_cell_length_a 7.0425
_cell_length_b 7.0425
_cell_length_c 11.0407
_cell_angle_alpha 90.00
_cell_angle_beta 90.00
_cell_angle_gamma 90.00
loop_
_atom_site_label
_atom_site_type_symbol
_atom_site_fract_x
_atom_site_fract_y
_atom_site_fract_z
Cs1 Cs 0.0000 0.5000 0.2500
Ni1 Ni 0.0000 0.0000 0.0000
Cl1 Cl 0.0000 0.0000 0.2049
Cl2 Cl 0.2358 0.2358 0.0000
F1 F 0.0000 0.0000 0.5000